No. 1
Below is crystalline LuThW at its relaxed geometry, with properties calculated at the PBE level.

POSCAR file:
```
LuThW
1.0
0.0000 3.4463 3.4463
3.4463 0.0000 3.4463
3.4463 3.4463 0.0000
Lu Th W
1 1 1
Cartesian
0.0000 0.0000 0.0000
3.4463 3.4463 3.4463
1.7231 1.7231 1.7231
```

Values from the calculation:
Space group: F-43m (216)
Calculated density (g/cm³): 11.99
E_tot (eV per atom): -7.76
Crystal system: cubic
ΔE to the lowest computed polymorph (meV per atom): 0.0

---

No. 2
Below is crystalline TaGaHg at its relaxed geometry, with properties calculated at the PBE level.

POSCAR file:
```
TaGaHg
1.0
3.3466 -1.5495 2.6634
1.3609 2.4365 3.5924
-0.9294 -1.4447 4.2123
Ga Hg Ta
1 1 1
Cartesian
0.9445 -0.1394 2.6170
2.8336 -0.4183 7.8510
0.0000 0.0000 0.0000
```

Values from the calculation:
Space group: F-43m (216)
Calculated density (g/cm³): 11.26
E_tot (eV per atom): -4.38
Crystal system: cubic
ΔE to the lowest computed polymorph (meV per atom): 5.8

---

No. 3
Below is crystalline HoZnIn at its relaxed geometry, with properties calculated at the PBE level.

POSCAR file:
```
HoZnIn
1.0
0.0000 3.4561 3.4561
3.4561 0.0000 3.4561
3.4561 3.4561 0.0000
Ho In Zn
1 1 1
Cartesian
0.0000 0.0000 0.0000
1.7281 1.7281 1.7281
5.1842 5.1842 5.1842
```

Values from the calculation:
Space group: F-43m (216)
Calculated density (g/cm³): 6.94
E_tot (eV per atom): -2.73
Crystal system: cubic

---

No. 4
Below is crystalline UTlF5 at its relaxed geometry, with properties calculated at the PBE level.

POSCAR file:
```
UTlF5
1.0
-5.5260 0.8417 5.8558
6.3390 -9.0690 7.2856
5.5613 5.5421 2.0600
F Tl U
40 8 8
Cartesian
2.8838 -5.5805 5.9987
3.1553 -7.7228 9.4071
0.9870 -6.1917 9.9061
0.6707 -7.0191 12.5150
0.4137 -2.8586 5.8325
-0.7907 -3.9642 9.9557
-2.6828 -0.1661 6.4850
2.3702 -1.5794 3.0608
4.5656 -6.0444 7.9903
2.7055 -4.5159 8.6582
0.1334 0.1393 4.6458
-0.2251 -0.4805 7.0395
1.7848 -4.6799 11.7557
5.4002 -4.0366 6.6792
2.3502 1.4181 1.8778
5.1421 -5.4049 10.5939
4.9061 -1.2745 3.9357
2.8196 0.4307 4.5100
2.3846 -0.5180 7.0011
-0.6655 2.0918 6.5920
7.0397 -4.7771 8.6093
3.9897 -2.1673 8.2002
3.5547 -3.1160 10.6913
1.4682 -1.4108 11.2657
1.2322 2.7196 4.6074
4.0241 -4.1034 13.3236
0.9741 1.3514 8.5221
4.5895 1.9946 3.4456
6.5994 -2.2048 8.1618
6.2409 -2.8246 10.5556
3.6688 1.8306 6.5431
1.8086 3.3591 7.2110
4.0041 -1.1058 12.1405
9.0571 -2.5192 8.7163
7.1650 1.2789 5.2456
5.9606 0.1734 9.3688
5.7036 4.3338 2.6863
5.3873 3.5064 5.2952
3.2190 5.0375 5.7942
3.4905 2.8952 9.2027
-0.3021 1.1787 2.1506
3.0612 -2.8787 5.3887
3.4864 -6.8039 12.1778
0.9475 -2.4171 8.6323
5.4268 -0.2682 6.5691
2.8878 4.1186 3.0236
3.3131 0.1934 9.8126
6.6764 -3.8640 13.0508
-1.2339 -1.6475 5.1781
5.1472 -6.2274 5.6873
-1.6324 0.8840 8.3933
4.8975 -3.9088 9.0736
1.4768 1.2235 6.1277
8.0067 -3.5693 6.8080
1.2271 3.5421 9.5140
7.6082 -1.0377 10.0232
```

Values from the calculation:
Space group: P2_1/c (14)
Calculated density (g/cm³): 8.39
E_tot (eV per atom): -6.38
Crystal system: monoclinic

---

No. 5
Below is crystalline Cu11Te2 at its relaxed geometry, with properties calculated at the PBE level.

POSCAR file:
```
Cu11Te2
1.0
4.2664 -1.5761 0.0000
4.2664 1.5761 0.0000
-3.1438 0.0000 21.8033
Cu Te
11 2
Cartesian
2.7422 0.0000 6.5012
5.2490 0.0000 7.4171
-0.7387 0.0000 8.3217
1.8292 0.0000 9.1592
4.3964 0.0000 10.0370
-1.5719 0.0000 10.9016
0.9927 0.0000 11.7663
3.5600 0.0000 12.6441
6.1279 0.0000 13.4816
0.1402 0.0000 14.3861
2.6469 0.0000 15.3020
0.3143 0.0000 5.2196
5.0748 0.0000 16.5836
```

Values from the calculation:
Space group: C2/m (12)
Calculated density (g/cm³): 5.40
E_tot (eV per atom): -3.59
Crystal system: monoclinic
ΔE to the lowest computed polymorph (meV per atom): 0.0

---

No. 6
Below is crystalline GdHo2In3AgPt2 at its relaxed geometry, with properties calculated at the PBE level.

POSCAR file:
```
GdHo2In3AgPt2
1.0
3.7719 0.0000 0.0000
0.0000 6.7852 3.9060
0.0000 -6.7852 3.9060
Ag Gd Ho In Pt
1 1 2 3 2
Cartesian
0.0000 0.0000 0.0053
0.0000 0.0000 4.6171
0.0000 2.7777 1.5990
0.0000 -2.7777 1.5990
1.8860 4.9548 2.8597
1.8860 0.0000 2.0930
1.8860 -4.9548 2.8597
1.8860 2.2776 3.9018
1.8860 -2.2776 3.9018
```

Values from the calculation:
Space group: Amm2 (38)
Calculated density (g/cm³): 11.04
E_tot (eV per atom): -4.93
Crystal system: orthorhombic

---

Question: The lowest calculated density belongs to which entry?
Answer: Cu11Te2